No. 1
# SrCe2Pb3

A relaxed SrCe2Pb3 crystal (GGA-PBE, Alexandria via LeMat-Bulk).

a b c (Å): 4.2332 4.2332 10.6304
angles (deg): 90.00 90.00 90.00
Sites, in units of the cell vectors:
Sr1 0.0000 0.0000 0.0000
Ce1 0.0000 0.0000 0.3684
Ce2 0.0000 0.0000 0.6316
Pb1 0.5000 0.5000 0.1911
Pb2 0.5000 0.5000 0.5000
Pb3 0.5000 0.5000 0.8089

formation enthalpy at 0 K	-0.415	eV/atom

***

No. 2
# CuB2H8

A relaxed CuB2H8 crystal (GGA-PBE, Alexandria via LeMat-Bulk).

a b c (Å): 6.4433 6.4433 6.5005
angles (deg): 119.75 119.75 70.82
Sites, in units of the cell vectors:
Cu1 0.0139 0.9861 0.7500
Cu2 0.9861 0.0139 0.2500
B1 0.1031 0.7181 0.9188
B2 0.2819 0.8969 0.5812
B3 0.7181 0.1031 0.4188
B4 0.8969 0.2819 0.0812
H1 0.0068 0.2791 0.9641
H2 0.0532 0.3255 0.3022
H3 0.1084 0.7826 0.4988
H4 0.2174 0.8916 0.0012
H5 0.2755 0.5707 0.9565
H6 0.2791 0.0068 0.4641
H7 0.3255 0.0532 0.8022
H8 0.4293 0.7245 0.5435
H9 0.5707 0.2755 0.4565
H10 0.6745 0.9468 0.1978
H11 0.7209 0.9932 0.5359
H12 0.7245 0.4293 0.0435
H13 0.7826 0.1084 0.9988
H14 0.8916 0.2174 0.5012
H15 0.9468 0.6745 0.6978
H16 0.9932 0.7209 0.0359

total DFT energy (no corrections)	-43.3	eV per formula unit

***

No. 3
# InCoMo2

A relaxed InCoMo2 crystal (GGA-PBE, Alexandria via LeMat-Bulk).

a b c (Å): 4.8369 4.8369 4.8369
angles (deg): 131.16 131.16 71.56
Sites, in units of the cell vectors:
In1 0.0000 0.0000 0.0000
Co1 0.7500 0.2500 0.5000
Mo1 0.2500 0.7500 0.5000
Mo2 0.5000 0.5000 0.0000

formation enthalpy at 0 K	0.347	eV/atom

***

No. 4
# CePrHo2Tm4

A relaxed CePrHo2Tm4 crystal (GGA-PBE, Alexandria via LeMat-Bulk).

a b c (Å): 5.0128 5.0319 9.8676
angles (deg): 90.00 90.00 90.00
Sites, in units of the cell vectors:
Ce1 0.0000 0.0000 0.0000
Pr1 0.5000 0.5000 0.5000
Ho1 0.0000 0.0000 0.5000
Ho2 0.5000 0.5000 0.0000
Tm1 0.0000 0.5000 0.2456
Tm2 0.0000 0.5000 0.7544
Tm3 0.5000 0.0000 0.2460
Tm4 0.5000 0.0000 0.7540

formation enthalpy at 0 K	0.051	eV/atom

***

No. 5
# TaCrIn2

A relaxed TaCrIn2 crystal (GGA-PBE, Alexandria via LeMat-Bulk).

a b c (Å): 5.3672 5.3672 5.3672
angles (deg): 134.81 134.81 65.82
Sites, in units of the cell vectors:
Ta1 0.0000 0.0000 0.0000
Cr1 0.2500 0.7500 0.5000
In1 0.5000 0.5000 0.0000
In2 0.7500 0.2500 0.5000

formation enthalpy at 0 K	0.386	eV/atom
distance to the lowest polymorph of the same formula	0.088	eV per atom

***

No. 6
# Na3PbC4O12

A relaxed Na3PbC4O12 crystal (GGA-PBE, Alexandria via LeMat-Bulk).

a b c (Å): 6.6761 6.6761 6.6761
angles (deg): 101.16 101.16 101.16
Sites, in units of the cell vectors:
Na1 0.0000 0.5386 0.4614
Na2 0.4614 0.0000 0.5386
Na3 0.5386 0.4614 0.0000
Pb1 0.0000 0.0000 0.0000
C1 0.0363 0.5000 0.9637
C2 0.5000 0.5000 0.5000
C3 0.5000 0.9637 0.0363
C4 0.9637 0.0363 0.5000
O1 0.0382 0.6259 0.8386
O2 0.0873 0.9127 0.5000
O3 0.1614 0.3741 0.9618
O4 0.3741 0.9618 0.1614
O5 0.3760 0.6240 0.5000
O6 0.5000 0.0873 0.9127
O7 0.5000 0.3760 0.6240
O8 0.6240 0.5000 0.3760
O9 0.6259 0.8386 0.0382
O10 0.8386 0.0382 0.6259
O11 0.9127 0.5000 0.0873
O12 0.9618 0.1614 0.3741

uncorrected formation energy	-1.375	eV/atom

***

What did the sixth record say?
# Na3PbC4O12

A relaxed Na3PbC4O12 crystal (GGA-PBE, Alexandria via LeMat-Bulk).

a b c (Å): 6.6761 6.6761 6.6761
angles (deg): 101.16 101.16 101.16
Sites, in units of the cell vectors:
Na1 0.0000 0.5386 0.4614
Na2 0.4614 0.0000 0.5386
Na3 0.5386 0.4614 0.0000
Pb1 0.0000 0.0000 0.0000
C1 0.0363 0.5000 0.9637
C2 0.5000 0.5000 0.5000
C3 0.5000 0.9637 0.0363
C4 0.9637 0.0363 0.5000
O1 0.0382 0.6259 0.8386
O2 0.0873 0.9127 0.5000
O3 0.1614 0.3741 0.9618
O4 0.3741 0.9618 0.1614
O5 0.3760 0.6240 0.5000
O6 0.5000 0.0873 0.9127
O7 0.5000 0.3760 0.6240
O8 0.6240 0.5000 0.3760
O9 0.6259 0.8386 0.0382
O10 0.8386 0.0382 0.6259
O11 0.9127 0.5000 0.0873
O12 0.9618 0.1614 0.3741

uncorrected formation energy	-1.375	eV/atom

***

Copy entry 4 word for word.
# CePrHo2Tm4

A relaxed CePrHo2Tm4 crystal (GGA-PBE, Alexandria via LeMat-Bulk).

a b c (Å): 5.0128 5.0319 9.8676
angles (deg): 90.00 90.00 90.00
Sites, in units of the cell vectors:
Ce1 0.0000 0.0000 0.0000
Pr1 0.5000 0.5000 0.5000
Ho1 0.0000 0.0000 0.5000
Ho2 0.5000 0.5000 0.0000
Tm1 0.0000 0.5000 0.2456
Tm2 0.0000 0.5000 0.7544
Tm3 0.5000 0.0000 0.2460
Tm4 0.5000 0.0000 0.7540

formation enthalpy at 0 K	0.051	eV/atom